# 1
DFT (GGA-PBE) results for an optimized crystal structure of ZrZnP2.

Cell and atoms, written as POSCAR:
```
ZrZnP2
1.0
-2.085 -3.371 -2.268
-4.244 0.594 -1.579
-0.733 0.381 -4.492
P Zr Zn
2 1 1
Direct
0.750 0.750 0.750 P
0.250 0.250 0.250 P
0.500 0.500 0.500 Zr
0.000 0.000 0.000 Zn
```

V, Å³ per cell: 67.4
Energy relative to the elements, eV/atom: -0.19
Total magnetization, Bohr magnetons per cell: 0.00
Offset from the most stable computed form, eV/atom: 0.426
Symmetry: Fm-3m

# 2
DFT (GGA-PBE) results for an optimized crystal structure of ZrZnP2.

Cell and atoms, written as POSCAR:
```
ZrZnP2
1.0
-2.162 1.729 -7.426
-4.945 2.034 -5.850
-2.848 4.468 -5.894
Zn Zr P
1 1 2
Direct
0.511 0.511 0.511 Zn
0.744 0.744 0.744 Zr
0.259 0.259 0.259 P
0.986 0.986 0.986 P
```

V, Å³ per cell: 68.9
Energy relative to the elements, eV/atom: -0.07
Total magnetization, Bohr magnetons per cell: 0.00
Offset from the most stable computed form, eV/atom: 0.545
Symmetry: R3m

# 3
DFT (GGA-PBE) results for an optimized crystal structure of ZrZn2P.

Cell and atoms, written as POSCAR:
```
ZrZn2P
1.0
1.908 4.016 2.820
-4.957 0.105 -1.773
-0.898 -1.283 2.435
Zn Zr P
2 1 1
Direct
0.500 0.000 0.000 Zn
0.000 0.500 0.000 Zn
0.000 0.000 0.500 Zr
0.500 0.500 0.500 P
```

V, Å³ per cell: 69.2
Energy relative to the elements, eV/atom: -0.15
Total magnetization, Bohr magnetons per cell: 0.00
Symmetry: Cmmm

# 4
DFT (GGA-PBE) results for an optimized crystal structure of ZrZnP2.

Cell and atoms, written as POSCAR:
```
ZrZnP2
1.0
4.844 0.010 0.000
1.396 4.638 0.000
-3.120 -2.324 2.885
Zn Zr P
1 1 2
Direct
0.250 0.750 0.500 Zn
0.750 0.250 0.500 Zr
0.000 0.000 0.000 P
0.500 0.500 0.000 P
```

V, Å³ per cell: 64.8
Energy relative to the elements, eV/atom: -0.30
Total magnetization, Bohr magnetons per cell: 0.00
Offset from the most stable computed form, eV/atom: 0.315
Symmetry: I4/mmm

# 5
DFT (GGA-PBE) results for an optimized crystal structure of ZrZn2P.

Cell and atoms, written as POSCAR:
```
ZrZn2P
1.0
3.540 0.000 0.000
0.000 3.548 -0.019
0.000 0.991 5.528
P Zn Zr
1 2 1
Direct
0.500 0.001 0.701 P
0.000 0.769 0.031 Zn
0.500 0.179 0.224 Zn
0.000 0.551 0.544 Zr
```

V, Å³ per cell: 69.5
Energy relative to the elements, eV/atom: -0.42
Total magnetization, Bohr magnetons per cell: 0.00
Symmetry: Pm

# 6
DFT (GGA-PBE) results for an optimized crystal structure of ZrZnP2.

Cell and atoms, written as POSCAR:
```
ZrZnP2
1.0
3.459 0.000 0.000
0.000 3.467 -0.004
0.000 3.432 5.592
Zr Zn P
1 1 2
Direct
0.500 0.750 0.750 Zr
0.500 0.250 0.250 Zn
0.000 0.024 0.978 P
0.000 0.476 0.522 P
```

V, Å³ per cell: 67.1
Energy relative to the elements, eV/atom: -0.50
Total magnetization, Bohr magnetons per cell: 0.00
Offset from the most stable computed form, eV/atom: 0.116
Symmetry: P2/m

# 7
DFT (GGA-PBE) results for an optimized crystal structure of ZrZnP2.

Cell and atoms, written as POSCAR:
```
ZrZnP2
1.0
-1.384 -1.152 -5.427
0.015 -4.053 -4.034
-3.381 -1.121 1.059
Zn Zr P
1 1 2
Direct
0.509 0.509 0.620 Zn
0.289 0.289 0.127 Zr
0.724 0.724 0.629 P
0.979 0.979 0.123 P
```

V, Å³ per cell: 71.0
Energy relative to the elements, eV/atom: -0.61
Total magnetization, Bohr magnetons per cell: 0.00
Offset from the most stable computed form, eV/atom: 0.000
Symmetry: Cm

# 8
DFT (GGA-PBE) results for an optimized crystal structure of ZrZnP2.

Cell and atoms, written as POSCAR:
```
ZrZnP2
1.0
-0.055 -2.993 -0.084
1.676 0.683 -2.386
6.924 -0.261 4.791
P Zn Zr
2 1 1
Direct
0.000 0.000 0.964 P
0.500 0.500 0.299 P
0.000 0.000 0.488 Zn
0.500 0.500 0.749 Zr
```

V, Å³ per cell: 73.8
Energy relative to the elements, eV/atom: 0.04
Total magnetization, Bohr magnetons per cell: 0.00
Offset from the most stable computed form, eV/atom: 0.651
Symmetry: Cmm2

# 9
DFT (GGA-PBE) results for an optimized crystal structure of ZrZn2P.

Cell and atoms, written as POSCAR:
```
ZrZn2P
1.0
0.000 3.228 3.228
3.228 0.000 3.228
3.228 3.228 0.000
Zn Zr P
2 1 1
Direct
0.000 0.000 0.000 Zn
0.750 0.750 0.750 Zn
0.250 0.250 0.250 Zr
0.500 0.500 0.500 P
```

V, Å³ per cell: 67.3
Energy relative to the elements, eV/atom: -0.08
Total magnetization, Bohr magnetons per cell: 0.00
Symmetry: F-43m

# 10
DFT (GGA-PBE) results for an optimized crystal structure of ZrZnP2.

Cell and atoms, written as POSCAR:
```
ZrZnP2
1.0
-2.044 3.622 -1.242
-3.778 -2.147 -0.043
-0.514 0.839 3.292
Zr P Zn
1 2 1
Direct
0.000 0.500 0.500 Zr
0.500 0.500 0.000 P
0.000 0.000 0.000 P
0.500 0.000 0.500 Zn
```

V, Å³ per cell: 64.8
Energy relative to the elements, eV/atom: -0.42
Total magnetization, Bohr magnetons per cell: 0.00
Offset from the most stable computed form, eV/atom: 0.195
Symmetry: P4/mmm

# 11
DFT (GGA-PBE) results for an optimized crystal structure of ZrZn3P.

Cell and atoms, written as POSCAR:
```
ZrZn3P
1.0
4.575 0.000 0.000
0.000 4.575 0.000
0.000 0.000 4.575
P Zr Zn
1 1 3
Direct
0.000 0.000 0.000 P
0.500 0.500 0.500 Zr
0.500 0.000 0.000 Zn
0.000 0.000 0.500 Zn
0.000 0.500 0.000 Zn
```

V, Å³ per cell: 95.7
Energy relative to the elements, eV/atom: 0.46
Total magnetization, Bohr magnetons per cell: 0.00
Offset from the most stable computed form, eV/atom: 0.000
Symmetry: Pm-3m

# 12
DFT (GGA-PBE) results for an optimized crystal structure of ZrZn2P.

Cell and atoms, written as POSCAR:
```
ZrZn2P
1.0
-3.407 2.450 2.587
1.257 -0.772 2.386
2.792 3.928 -0.042
Zr Zn P
1 2 1
Direct
0.500 0.500 0.000 Zr
0.000 0.042 0.753 Zn
0.000 0.958 0.247 Zn
0.500 0.000 0.500 P
```

V, Å³ per cell: 66.6
Energy relative to the elements, eV/atom: -0.20
Total magnetization, Bohr magnetons per cell: 0.00
Symmetry: P2/m

# 13
DFT (GGA-PBE) results for an optimized crystal structure of Zr5ZnP3.

Cell and atoms, written as POSCAR:
```
Zr5ZnP3
1.0
8.082 0.000 0.000
-4.041 7.000 0.000
0.000 0.000 5.576
Zr P Zn
10 6 2
Direct
0.719 0.000 0.250 Zr
0.000 0.719 0.250 Zr
0.333 0.667 0.500 Zr
0.667 0.333 0.000 Zr
0.719 0.719 0.750 Zr
0.667 0.333 0.500 Zr
0.281 0.000 0.750 Zr
0.281 0.281 0.250 Zr
0.333 0.667 0.000 Zr
0.000 0.281 0.750 Zr
0.000 0.619 0.750 P
0.381 0.000 0.250 P
0.619 0.000 0.750 P
0.381 0.381 0.750 P
0.000 0.381 0.250 P
0.619 0.619 0.250 P
0.000 0.000 0.500 Zn
0.000 0.000 0.000 Zn
```

V, Å³ per cell: 315.5
Energy relative to the elements, eV/atom: -0.95
Total magnetization, Bohr magnetons per cell: 0.00
Symmetry: P6_3/mcm

# 14
DFT (GGA-PBE) results for an optimized crystal structure of ZrZnP2.

Cell and atoms, written as POSCAR:
```
ZrZnP2
1.0
6.456 -0.011 -0.007
5.388 3.557 -0.007
5.388 1.613 3.170
P Zr Zn
2 1 1
Direct
0.503 0.503 0.503 P
0.997 0.997 0.997 P
0.750 0.750 0.750 Zr
0.250 0.250 0.250 Zn
```

V, Å³ per cell: 73.1
Energy relative to the elements, eV/atom: -0.50
Total magnetization, Bohr magnetons per cell: 0.00
Offset from the most stable computed form, eV/atom: 0.114
Symmetry: R-3m

# 15
DFT (GGA-PBE) results for an optimized crystal structure of ZrZnP4.

Cell and atoms, written as POSCAR:
```
ZrZnP4
1.0
0.000 3.613 3.613
3.613 0.000 3.613
3.613 3.613 0.000
P Zn Zr
4 1 1
Direct
0.375 0.375 0.375 P
0.876 0.375 0.375 P
0.375 0.876 0.375 P
0.375 0.375 0.876 P
0.750 0.750 0.750 Zn
0.000 0.000 0.000 Zr
```

V, Å³ per cell: 94.4
Energy relative to the elements, eV/atom: 0.18
Total magnetization, Bohr magnetons per cell: 0.00
Symmetry: F-43m

# 16
DFT (GGA-PBE) results for an optimized crystal structure of Zr6P5.

Cell and atoms, written as POSCAR:
```
Zr6P5
1.0
6.382 0.215 -0.903
1.532 5.446 -3.072
-0.162 -0.139 6.419
P Zr
5 6
Direct
0.500 0.500 0.000 P
0.500 0.835 0.671 P
0.000 0.334 0.669 P
0.500 0.165 0.329 P
0.000 0.666 0.331 P
0.746 0.083 0.650 Zr
0.739 0.738 0.000 Zr
0.254 0.566 0.650 Zr
0.261 0.262 0.000 Zr
0.746 0.434 0.350 Zr
0.254 0.917 0.350 Zr
```

V, Å³ per cell: 217.8
Energy relative to the elements, eV/atom: -1.26
Total magnetization, Bohr magnetons per cell: 0.00
Symmetry: C2/m

# 17
DFT (GGA-PBE) results for an optimized crystal structure of ZrP2.

Cell and atoms, written as POSCAR:
```
ZrP2
1.0
-7.043 -3.271 -2.328
-5.163 -6.234 -0.453
5.274 5.314 3.109
P Zr
2 1
Direct
0.630 0.630 0.000 P
0.370 0.370 0.000 P
0.000 0.000 0.000 Zr
```

V, Å³ per cell: 62.2
Energy relative to the elements, eV/atom: -0.15
Total magnetization, Bohr magnetons per cell: 0.00
Symmetry: I4/mmm

# 18
DFT (GGA-PBE) results for an optimized crystal structure of Zr2P.

Cell and atoms, written as POSCAR:
```
Zr2P
1.0
1.787 5.017 0.002
-1.787 5.017 0.002
0.000 3.845 6.407
Zr P
4 2
Direct
0.156 0.156 0.445 Zr
0.844 0.844 0.555 Zr
0.419 0.419 0.865 Zr
0.581 0.581 0.135 Zr
0.844 0.844 0.178 P
0.156 0.156 0.822 P
```

V, Å³ per cell: 114.9
Energy relative to the elements, eV/atom: -0.97
Total magnetization, Bohr magnetons per cell: 0.00
Symmetry: C2/m

# 19
DFT (GGA-PBE) results for an optimized crystal structure of ZrP3.

Cell and atoms, written as POSCAR:
```
ZrP3
1.0
-0.011 1.411 3.293
1.410 -3.026 1.301
4.644 1.832 -0.769
P Zr
3 1
Direct
0.000 0.000 0.025 P
0.500 0.500 0.250 P
0.000 0.000 0.475 P
0.500 0.500 0.750 Zr
```

V, Å³ per cell: 64.8
Energy relative to the elements, eV/atom: -0.33
Total magnetization, Bohr magnetons per cell: 0.00
Symmetry: P4/mmm

# 20
DFT (GGA-PBE) results for an optimized crystal structure of ZrP2.

Cell and atoms, written as POSCAR:
```
ZrP2
1.0
-2.047 0.430 6.909
1.608 -6.414 -2.895
3.359 0.404 0.970
P Zr
6 3
Direct
0.000 0.270 0.000 P
0.730 0.730 0.000 P
0.270 0.000 0.000 P
0.418 0.418 0.500 P
0.000 0.582 0.500 P
0.582 0.000 0.500 P
0.000 0.000 0.500 Zr
0.333 0.667 0.000 Zr
0.667 0.333 0.000 Zr
```

V, Å³ per cell: 158.8
Energy relative to the elements, eV/atom: -0.56
Total magnetization, Bohr magnetons per cell: 0.00
Symmetry: P-62m